Record 1
The following is a PBE calculation of a relaxed ErNbS2 crystal, from Alexandria via LeMat-Bulk.

abc: 8.7175 8.7175 8.7175
angles: 22.85 22.85 22.85
Closest atoms and distances in Å follow each position.
Positions (direct):
Er 0.0000 0.0000 0.0000  2 S 2.68
Nb 0.5000 0.5000 0.5000  6 S 2.53
S 0.1054 0.1054 0.1054  3 Nb 2.53, 1 Er 2.68
S 0.8946 0.8946 0.8946  3 Nb 2.53, 1 Er 2.68

Calculated values
Raw formation energy in eV/atom: -0.8784
Final energy in eV/atom: -6.60
SG: No. 166
V in A^3/atom: 21.92
Total moment in Bohr magnetons per cell: 0.0

=====

Record 2
The following is a PBE calculation of a relaxed ErNb2S crystal, from Alexandria via LeMat-Bulk.

abc: 8.6770 8.6770 8.6770
angles: 22.92 22.92 22.92
Closest atoms and distances in Å follow each position.
Positions (direct):
Er 0.0000 0.0000 0.0000  2 Nb 2.88
Nb 0.1137 0.1137 0.1137  3 S 2.40
Nb 0.8863 0.8863 0.8863  3 S 2.40
S 0.5000 0.5000 0.5000  6 Nb 2.40

Calculated values
Raw formation energy in eV/atom: 0.0835
Final energy in eV/atom: -7.12
SG: No. 166
V in A^3/atom: 21.73
Total moment in Bohr magnetons per cell: 0.0

=====

Record 3
The following is a PBE calculation of a relaxed Er2NbS crystal, from Alexandria via LeMat-Bulk.

abc: 9.5589 9.5589 9.5589
angles: 20.66 20.66 20.66
Closest atoms and distances in Å follow each position.
Positions (direct):
Er 0.1037 0.1037 0.1037  3 S 2.65, 1 Nb 2.91
Er 0.8963 0.8963 0.8963  3 S 2.65, 1 Nb 2.91
Nb 0.0000 0.0000 0.0000  2 Er 2.91
S 0.5000 0.5000 0.5000  6 Er 2.65

Calculated values
Raw formation energy in eV/atom: -0.2725
Final energy in eV/atom: -6.10
SG: No. 166
V in A^3/atom: 23.80
Total moment in Bohr magnetons per cell: 0.7

=====

Record 4
The following is a PBE calculation of a relaxed ErNb2S5 crystal, from Alexandria via LeMat-Bulk.

abc: 6.6892 6.6892 6.6212
angles: 90.34 90.34 130.53
Closest atoms and distances in Å follow each position.
Positions (direct):
Er 0.0000 0.0000 0.0000  6 S 2.76-2.80
Nb 0.2928 0.7072 0.0000  5 S 2.35-2.55
Nb 0.7072 0.2928 0.0000  5 S 2.35-2.55
S 0.0118 0.6706 0.7588  2 Nb 2.35-2.55
S 0.3294 0.9882 0.2412  2 Nb 2.35-2.55
S 0.5000 0.5000 0.0000  2 Nb 2.52, 2 Er 2.80
S 0.6706 0.0118 0.7588  2 Nb 2.35-2.55
S 0.9882 0.3294 0.2412  2 Nb 2.35-2.55

Calculated values
Raw formation energy in eV/atom: -1.1174
Final energy in eV/atom: -6.78
SG: No. 12
V in A^3/atom: 28.14
Total moment in Bohr magnetons per cell: 0.0

=====

Record 5
The following is a PBE calculation of a relaxed Er3NbTl3S8 crystal, from Alexandria via LeMat-Bulk.

abc: 8.8471 8.8471 8.8471
angles: 51.93 51.93 51.93
Closest atoms and distances in Å follow each position.
Positions (direct):
Er 0.0000 0.5000 0.5000  6 S 2.70-2.73
Er 0.5000 0.0000 0.5000  6 S 2.70-2.73
Er 0.5000 0.5000 0.0000  6 S 2.70-2.73
Nb 0.0000 0.0000 0.0000  6 S 2.55
Tl 0.0000 0.0000 0.5000  6 S 3.21-3.22
Tl 0.0000 0.5000 0.0000  6 S 3.21-3.22
Tl 0.5000 0.0000 0.0000  6 S 3.21-3.22
S 0.2196 0.2196 0.7509  1 Nb 2.55, 2 Er 2.73
S 0.2196 0.7509 0.2196  1 Nb 2.55, 2 Er 2.73
S 0.2491 0.7804 0.7804  1 Nb 2.55, 2 Er 2.73
S 0.2675 0.2675 0.2675  3 Er 2.70
S 0.7325 0.7325 0.7325  3 Er 2.70
S 0.7509 0.2196 0.2196  1 Nb 2.55, 2 Er 2.73
S 0.7804 0.2491 0.7804  1 Nb 2.55, 2 Er 2.73
S 0.7804 0.7804 0.2491  1 Nb 2.55, 2 Er 2.73

Calculated values
Raw formation energy in eV/atom: -1.3458
Final energy in eV/atom: -5.60
SG: No. 166
V in A^3/atom: 26.45
Total moment in Bohr magnetons per cell: 1.0

=====

Record 6
The following is a PBE calculation of a relaxed Er2ScNb crystal, from Alexandria via LeMat-Bulk.

abc: 11.3791 11.3791 11.3791
angles: 16.23 16.23 16.23
Closest atoms and distances in Å follow each position.
Positions (direct):
Er 0.0862 0.0862 0.0862  1 Nb 2.90, 6 Er 3.21
Er 0.9138 0.9138 0.9138  1 Nb 2.90, 6 Er 3.21
Sc 0.5000 0.5000 0.5000  6 Sc 3.21, 6 Er 3.28
Nb 0.0000 0.0000 0.0000  2 Er 2.90, 6 Nb 3.21

Calculated values
Final energy in eV/atom: -5.90
SG: No. 166
V in A^3/atom: 25.08
Total moment in Bohr magnetons per cell: 0.0
E_form in eV/atom: 0.477